Li12In6Ag (GGA-PBE, relaxed); energy relative to the elements = -235 meV per atom; electronic total energy = -2.458 eV/atom; magnetic moment = 0.0000 μB/atom; space group = No. 148
1.0
-1.393 5.674 4.242
-7.058 -1.501 -0.249
0.645 -4.174 5.856
In Li Ag
6 12 1
Direct
0.724 0.273 0.880
0.276 0.727 0.120
0.727 0.120 0.276
0.120 0.276 0.727
0.273 0.880 0.724
0.880 0.724 0.273
0.428 0.523 0.805
0.850 0.966 0.626
0.150 0.034 0.374
0.195 0.572 0.477
0.374 0.150 0.034
0.572 0.477 0.195
0.966 0.626 0.850
0.523 0.805 0.428
0.034 0.374 0.150
0.477 0.195 0.572
0.805 0.428 0.523
0.626 0.850 0.966
0.000 0.000 0.000

Li3In2Ag4 (GGA-PBE, relaxed); energy relative to the elements = -223 meV per atom; electronic total energy = -2.736 eV/atom; magnetic moment = 0.0000 μB/atom; space group = No. 12
1.0
4.565 0.000 0.000
-2.282 4.074 0.389
0.000 -0.574 8.680
Ag Li In
4 3 2
Direct
0.001 0.002 0.339
0.999 0.998 0.661
0.335 0.671 0.898
0.665 0.329 0.102
0.333 0.667 0.568
0.667 0.333 0.432
0.000 0.000 0.000
0.667 0.335 0.771
0.333 0.665 0.229

Li2In2Ag (GGA-PBE, relaxed); relative energy among the computed polymorphs = 0.006 eV per atom; energy relative to the elements = -227 meV per atom; electronic total energy = -2.658 eV/atom; magnetic moment = 0.0000 μB/atom; space group = No. 15
1.0
-5.322 -1.816 -1.051
-1.615 -3.290 -4.393
-0.806 -7.463 2.397
Ag In Li
2 4 4
Direct
0.318 0.682 0.250
0.682 0.318 0.750
0.474 0.139 0.147
0.139 0.474 0.647
0.526 0.861 0.853
0.861 0.526 0.353
0.926 0.265 0.052
0.074 0.735 0.948
0.735 0.074 0.448
0.265 0.926 0.552